# Er3VO6, optimized geometry, DFT PBE+U
# electronic total energy	-8.27	eV per atom
# M_tot	2.00	μB per formula unit
data_Er3VO6
_space_group_name_H-M_alt 'C m c 21'
_space_group_IT_number 36
_space_group_name_Hall 'C 2c -2'
_cell_length_a 8.898
_cell_length_b 10.792
_cell_length_c 5.471
_cell_angle_alpha 90.00
_cell_angle_beta 90.00
_cell_angle_gamma 90.00
loop_
_atom_site_label
_atom_site_type_symbol
_atom_site_fract_x
_atom_site_fract_y
_atom_site_fract_z
_atom_site_occupancy
Er1 Er 0.000 0.103 0.000 1
Er2 Er 0.205 0.384 0.054 1
V1 V 0.000 0.349 0.565 1
O1 O 0.000 0.278 0.242 1
O2 O 0.000 0.485 0.876 1
O3 O 0.150 0.250 0.752 1
O4 O 0.159 0.015 0.277 1